[1]
Density functional theory data (PBE-GGA) for a relaxed NbVSe3 crystal.

Lattice parameters (Å, degrees): 5.035 5.035 5.035 90.00 90.00 90.00
Space group Pm-3m (No. 221)
One atom of each set of equivalent atoms:
Nb  0.000  0.000  0.000
V  0.500  0.500  0.500
Se  0.000  0.000  0.500

Results
Energy relative to the elements, uncorrected   0.223 eV per atom
D(E_F)   7.71 states/eV per cell
Calculated volume   25.5 Å³/atom



[2]
Density functional theory data (PBE-GGA) for a relaxed NbVSe6 crystal.

Lattice parameters (Å, degrees): 6.229 6.357 6.358 69.41 62.16 62.15
Space group P-1 (No. 2)
One atom of each set of equivalent atoms:
Nb  0.000  0.000  0.000
V  0.500  0.500  0.500
Se  0.072  0.739  0.739
Se  0.357  0.638  0.149
Se  0.358  0.148  0.639

Results
Energy relative to the elements, uncorrected   -0.375 eV per atom
D(E_F)   5.74 states/eV per cell
Calculated volume   24.2 Å³/atom



[3]
Density functional theory data (PBE-GGA) for a relaxed NbVSe crystal.

Lattice parameters (Å, degrees): 14.956 3.256 9.075 90.00 98.41 90.00
Space group C2/m (No. 12)
One atom of each set of equivalent atoms:
Nb  0.105  0.000  0.102
Nb  0.131  0.000  0.624
V  0.226  0.000  0.370
V  0.239  0.500  0.114
Se  0.054  0.000  0.352
Se  0.124  0.500  0.865

Results
Energy relative to the elements, uncorrected   -0.096 eV per atom
D(E_F)   15.74 states/eV per cell
Calculated volume   18.2 Å³/atom